An optimized crystal structure of CrReTe2, computed with PBE.

ΔE to the lowest computed polymorph	548	meV/atom
Fermi-level density of states	1.05	states/eV per atom
spin magnetization	3.81	μB per formula unit

Cell lengths 7.3862, 7.3862, 7.3862 Å; angles 130.39, 130.39, 72.79 degrees
Atoms (fractional coordinates):
Cr  0.0000  0.0000  0.0000
Cr  0.7500  0.2500  0.5000
Re  0.2500  0.7500  0.5000
Re  0.5000  0.5000  0.0000
Te  0.1424  0.6250  0.0174
Te  0.3750  0.3924  0.5174
Te  0.6076  0.1250  0.9826
Te  0.8750  0.8576  0.4826


An optimized crystal structure of Cr3ReTe, computed with PBE.

ΔE to the lowest computed polymorph	777	meV/atom
Fermi-level density of states	1.14	states/eV per atom
spin magnetization	7.93	μB per formula unit

Cell lengths 4.9336, 4.9336, 4.9336 Å; angles 90.00, 90.00, 90.00 degrees
Atoms (fractional coordinates):
Cr  0.0000  0.0000  0.5000
Cr  0.0000  0.5000  0.0000
Cr  0.5000  0.0000  0.0000
Re  0.5000  0.5000  0.5000
Te  0.0000  0.0000  0.0000


An optimized crystal structure of Ti3CrRe3, computed with PBE.

formation energy	0.21	eV/atom
Fermi-level density of states	1.01	states/eV per atom
spin magnetization	2.97	μB per formula unit

Cell lengths 6.1348, 6.1348, 6.1065 Å; angles 90.00, 90.00, 94.38 degrees
Atoms (fractional coordinates):
Ti  0.0000  0.0000  0.2461
Ti  0.0000  0.0000  0.7539
Ti  0.0000  0.5000  0.2566
Ti  0.0000  0.5000  0.7434
Ti  0.5000  0.0000  0.2566
Ti  0.5000  0.0000  0.7434
Cr  0.2926  0.2926  0.5000
Cr  0.7074  0.7074  0.5000
Re  0.2319  0.7681  0.5000
Re  0.2734  0.7266  0.0000
Re  0.3098  0.3098  0.0000
Re  0.6902  0.6902  0.0000
Re  0.7266  0.2734  0.0000
Re  0.7681  0.2319  0.5000


An optimized crystal structure of TiCrRe3, computed with PBE.

formation energy	1.19	eV/atom
ΔE to the lowest computed polymorph	0	meV/atom
Fermi-level density of states	0.53	states/eV per atom
spin magnetization	0.00	μB per formula unit

Cell lengths 4.4284, 4.4284, 4.4284 Å; angles 90.00, 90.00, 90.00 degrees
Atoms (fractional coordinates):
Ti  0.0000  0.0000  0.0000
Cr  0.5000  0.5000  0.5000
Re  0.0000  0.5000  0.5000
Re  0.5000  0.0000  0.5000
Re  0.5000  0.5000  0.0000